1.
Crystalline TaBeCl at its relaxed geometry. Source: the Alexandria database, functional GGA-PBE.

Computed properties:
Total magnetization ... 0.000 μB/f.u.
Mass density ... 6297 kg/m³
Uncorrected formation energy ... 0.0960 eV per atom

POSCAR file:
```
TaBeCl
1.0
-1.4469 1.4469 7.0984
1.4469 -1.4469 7.0984
1.4469 1.4469 -7.0984
Ta Be Cl
1 1 1
direct
0.0000 0.0000 0.0000
0.6080 0.6080 0.0000
0.3730 0.3730 0.0000
```


2.
Crystalline TaBe2Cl at its relaxed geometry. Source: the Alexandria database, functional GGA-PBE.

Computed properties:
Total magnetization ... 0.000 μB/f.u.
Mass density ... 6666 kg/m³
Density of states at the Fermi level ... 1.9 states/eV per cell
Uncorrected formation energy ... 0.1397 eV per atom

POSCAR file:
```
TaBe2Cl
1.0
2.8186 0.0000 0.0000
0.0000 2.8723 0.0000
0.0000 0.0000 7.2132
Ta Be Cl
1 2 1
direct
0.0000 0.0000 0.0000
0.5000 0.5000 0.2486
0.5000 0.5000 0.7514
0.0000 0.5000 0.5000
```


3.
Crystalline TaBe2Cl at its relaxed geometry. Source: the Alexandria database, functional GGA-PBE.

Computed properties:
Total magnetization ... 0.000 μB/f.u.
Mass density ... 7070 kg/m³
Density of states at the Fermi level ... 1.7 states/eV per cell
Uncorrected formation energy ... 0.6284 eV per atom

POSCAR file:
```
TaBe2Cl
1.0
2.8359 0.0000 0.0000
0.0000 4.1909 0.0000
0.0000 0.0000 4.6325
Ta Be Cl
1 2 1
direct
0.0000 0.0000 0.0000
0.0000 0.5000 0.5000
0.5000 0.0000 0.5000
0.5000 0.5000 0.0000
```


4.
Crystalline TaBe2Cl at its relaxed geometry. Source: the Alexandria database, functional GGA-PBE.

Computed properties:
Total magnetization ... 0.000 μB/f.u.
Mass density ... 6746 kg/m³
Density of states at the Fermi level ... 2.0 states/eV per cell
Uncorrected formation energy ... 0.4475 eV per atom

POSCAR file:
```
TaBe2Cl
1.0
-1.3987 2.2273 4.6308
1.3987 -2.2273 4.6308
1.3987 2.2273 -4.6308
Ta Be Cl
1 2 1
direct
0.0000 0.0000 0.0000
0.2470 0.7470 0.5000
0.4233 0.4233 0.0000
0.6245 0.1245 0.5000
```


5.
Crystalline TaBeCl at its relaxed geometry. Source: the Alexandria database, functional GGA-PBE.

Computed properties:
Total magnetization ... 0.000 μB/f.u.
Mass density ... 6271 kg/m³
Density of states at the Fermi level ... 0.9 states/eV per cell
Uncorrected formation energy ... -0.3001 eV per atom

POSCAR file:
```
TaBeCl
1.0
9.0351 -1.5383 0.0000
9.0351 1.5383 0.0000
-0.8564 0.0000 4.2948
Ta Be Cl
2 2 2
direct
0.0576 0.0576 0.3645
0.9424 0.9424 0.6355
0.4501 0.4501 0.1104
0.5499 0.5499 0.8896
0.3446 0.3446 0.3258
0.6554 0.6554 0.6742
```


6.
Crystalline TaBeCl2 at its relaxed geometry. Source: the Alexandria database, functional GGA-PBE.

Computed properties:
Total magnetization ... 0.922 μB/f.u.
Mass density ... 4904 kg/m³
Density of states at the Fermi level ... 1.8 states/eV per cell
Uncorrected formation energy ... 0.1888 eV per atom

POSCAR file:
```
TaBeCl2
1.0
-1.4997 2.2978 6.4077
1.4997 -2.2978 6.4077
1.4997 2.2978 -6.4077
Ta Be Cl
1 1 2
direct
0.0000 0.0000 0.0000
0.1531 0.6531 0.5000
0.5253 0.5253 0.0000
0.8417 0.3417 0.5000
```


7.
Crystalline TaBeCl2 at its relaxed geometry. Source: the Alexandria database, functional GGA-PBE.

Computed properties:
Total magnetization ... 0.000 μB/f.u.
Mass density ... 4802 kg/m³
Density of states at the Fermi level ... 1.7 states/eV per cell
Uncorrected formation energy ... -0.2132 eV per atom

POSCAR file:
```
TaBeCl2
1.0
-1.5946 1.8818 7.5152
1.5946 -1.8818 7.5152
1.5946 1.8818 -7.5152
Ta Be Cl
1 1 2
direct
0.0000 0.0000 0.0000
0.5000 0.5000 0.0000
0.1309 0.6309 0.5000
0.8691 0.3691 0.5000
```


8.
Crystalline TaBeCl2 at its relaxed geometry. Source: the Alexandria database, functional GGA-PBE.

Computed properties:
Total magnetization ... 0.003 μB/f.u.
Mass density ... 6626 kg/m³
Density of states at the Fermi level ... 2.8 states/eV per cell
Uncorrected formation energy ... 0.4118 eV per atom

POSCAR file:
```
TaBeCl2
1.0
2.9427 0.0000 0.0000
0.0000 4.2018 0.0000
0.0000 0.0000 5.2872
Ta Be Cl
1 1 2
direct
0.0000 0.0000 0.0000
0.5000 0.0000 0.5000
0.0000 0.5000 0.5000
0.5000 0.5000 0.0000
```


What did the third record say?
Crystalline TaBe2Cl at its relaxed geometry. Source: the Alexandria database, functional GGA-PBE.

Computed properties:
Total magnetization ... 0.000 μB/f.u.
Mass density ... 7070 kg/m³
Density of states at the Fermi level ... 1.7 states/eV per cell
Uncorrected formation energy ... 0.6284 eV per atom

POSCAR file:
```
TaBe2Cl
1.0
2.8359 0.0000 0.0000
0.0000 4.1909 0.0000
0.0000 0.0000 4.6325
Ta Be Cl
1 2 1
direct
0.0000 0.0000 0.0000
0.0000 0.5000 0.5000
0.5000 0.0000 0.5000
0.5000 0.5000 0.0000
```